Material: HfMn3Cr
Method: DFT, GGA-PBE
State: optimized geometry

Cell lengths 4.3827, 4.3827, 4.3827 Å; angles 90.00, 90.00, 90.00 degrees
Closest atoms and distances in Å follow each position.
Space group Pm-3m (No. 221)
Unique sites:
1 Hf 0.0000 0.0000 0.0000  6 Mn 2.19
2 Mn 0.0000 0.0000 0.5000  2 Hf 2.19
3 Cr 0.5000 0.5000 0.5000  12 Mn 3.10

Summary:
DFT formation energy   2238 meV/atom
Electronic total energy   -7.1794 eV/atom
Distance to the lowest polymorph of the same formula   1.558 eV per atom



Material: Hf2MnCr3
Method: DFT, GGA-PBE
State: optimized geometry

Cell lengths 8.6341, 4.9886, 4.9942 Å; angles 90.00, 125.26, 90.00 degrees
Closest atoms and distances in Å follow each position.
Space group C2/m (No. 12)
Unique sites:
1 Hf 0.1254 0.0000 0.3760  3 Mn 2.92, 9 Cr 2.92-2.93, 4 Hf 3.05-3.07
2 Mn 0.0000 0.5000 0.5000  6 Cr 2.50
3 Cr 0.0000 0.5000 0.0000  4 Cr 2.49, 2 Mn 2.50
4 Cr 0.2500 0.2500 0.0000  4 Cr 2.49, 2 Mn 2.50

Summary:
DFT formation energy   -169 meV/atom
Electronic total energy   -9.8263 eV/atom



Material: HfMn3Cr
Method: DFT, GGA-PBE
State: optimized geometry

Cell lengths 4.1830, 4.1830, 4.1830 Å; angles 90.00, 90.00, 90.00 degrees
Closest atoms and distances in Å follow each position.
Space group Pm-3m (No. 221)
Unique sites:
1 Hf 0.0000 0.0000 0.0000  12 Mn 2.96
2 Mn 0.0000 0.5000 0.5000  2 Cr 2.09
3 Cr 0.5000 0.5000 0.5000  6 Mn 2.09

Summary:
DFT formation energy   680 meV/atom
Electronic total energy   -8.7371 eV/atom
Distance to the lowest polymorph of the same formula   0.000 eV per atom



Material: HfMn4Cr
Method: DFT, GGA-PBE
State: optimized geometry

Cell lengths 6.7718, 6.7718, 6.7718 Å; angles 90.00, 90.00, 90.00 degrees
Closest atoms and distances in Å follow each position.
Space group F-43m (No. 216)
Unique sites:
1 Hf 0.0000 0.0000 0.0000  12 Mn 2.81, 4 Cr 2.93
2 Mn 0.1255 0.1255 0.3745  6 Mn 2.38-2.40
3 Cr 0.2500 0.2500 0.7500  12 Mn 2.81, 4 Hf 2.93

Summary:
DFT formation energy   -20 meV/atom
Electronic total energy   -9.3955 eV/atom



Material: HfMnCr3
Method: DFT, GGA-PBE
State: optimized geometry

Cell lengths 4.2536, 4.2536, 4.2536 Å; angles 90.00, 90.00, 90.00 degrees
Closest atoms and distances in Å follow each position.
Space group Pm-3m (No. 221)
Unique sites:
1 Hf 0.0000 0.0000 0.0000  12 Cr 3.01
2 Mn 0.5000 0.5000 0.5000  6 Cr 2.13
3 Cr 0.0000 0.5000 0.5000  2 Mn 2.13

Summary:
DFT formation energy   715 meV/atom
Electronic total energy   -8.8840 eV/atom
Distance to the lowest polymorph of the same formula   0.000 eV per atom



Material: HfMn10Cr2
Method: DFT, GGA-PBE
State: optimized geometry

Cell lengths 8.2378, 9.3785, 7.9832 Å; angles 90.00, 90.00, 90.00 degrees
Closest atoms and distances in Å follow each position.
Space group Cmcm (No. 63)
Unique sites:
1 Hf 0.0000 0.1199 0.2500  16 Mn 2.86-3.16, 4 Cr 3.12
2 Mn 0.0000 0.1704 0.6034  8 Mn 2.34-2.62, 2 Cr 2.34
3 Mn 0.0000 0.3960 0.0726  4 Mn 2.27-2.54, 2 Cr 2.54
4 Mn 0.1355 0.3901 0.7500  2 Mn 2.23-2.39
5 Mn 0.2220 0.0000 0.0000  8 Mn 2.32-2.56, 2 Cr 2.36
6 Mn 0.2503 0.1243 0.7500  2 Cr 2.32, 7 Mn 2.32-2.50
7 Cr 0.2500 0.2500 0.0000  10 Mn 2.32-2.57

Summary:
DFT formation energy   -31 meV/atom
Electronic total energy   -9.3310 eV/atom



Material: HfMn6Cr2
Method: DFT, GGA-PBE
State: optimized geometry

Cell lengths 12.7495, 6.5623, 2.7487 Å; angles 90.00, 102.33, 90.00 degrees
Closest atoms and distances in Å follow each position.
Space group C2/m (No. 12)
Unique sites:
1 Hf 0.0000 0.0000 0.0000  12 Mn 2.63-2.89, 2 Hf 2.75
2 Mn 0.0000 0.3414 0.5000  1 Mn 2.08
3 Mn 0.1830 0.1707 0.6825  3 Mn 2.24-2.40, 1 Cr 2.43
4 Cr 0.1436 0.5000 0.1418  10 Mn 2.43-2.61

Summary:
DFT formation energy   293 meV/atom
Electronic total energy   -9.0648 eV/atom



Material: Hf2Mn3Cr
Method: DFT, GGA-PBE
State: optimized geometry

Cell lengths 5.0578, 5.0578, 11.7441 Å; angles 90.00, 90.00, 120.00 degrees
Closest atoms and distances in Å follow each position.
Space group R-3m (No. 166, hexagonal axes)
Unique sites:
1 Hf 0.0000 0.0000 0.1262  9 Mn 2.84-2.93, 3 Cr 2.96, 4 Hf 2.97-3.07
2 Mn 0.0000 0.5000 0.0000  2 Cr 2.44, 4 Mn 2.53
3 Cr 0.0000 0.0000 0.5000  6 Mn 2.44

Summary:
DFT formation energy   -237 meV/atom
Electronic total energy   -9.7435 eV/atom